A plane-wave DFT calculation with PBE was carried out for crystalline La2Pm4NdY2 at its relaxed geometry.

Cell lengths 3.692, 9.754, 9.796 Å; angles 115.28, 90.00, 100.91 degrees
Positions (direct):
La (0.333, 0.667, 0.000)
La (0.667, 0.333, 0.000)
Pm (0.814, 0.628, 0.665)
Pm (0.186, 0.372, 0.335)
Pm (0.519, 0.037, 0.336)
Pm (0.481, 0.963, 0.664)
Nd (0.000, 0.000, 0.000)
Y (0.852, 0.705, 0.335)
Y (0.148, 0.295, 0.665)

Summary:
Theoretical density in g/cm³: 6.281
Energy relative to the elements in eV per atom: 0.0009